Below is an optimized crystal structure of Tl3V2AgO8, with properties calculated at the GGA+U level.

Values from the calculation:
* calculated volume: 15.55 Å³ per atom
* DFT total energy: -5.81 eV/atom

```
14
Lattice="5.829 0.000 0.000 -2.914 5.048 0.000 0.000 0.000 7.401" Properties=species:S:1:pos:R:3 pbc="T T T"
Tl 0.000 0.000 0.000
Tl 0.000 3.365 4.628
Tl 2.914 1.683 2.773
V 0.000 3.365 1.194
V 2.914 1.683 6.206
Ag 0.000 0.000 3.700
O 0.000 1.665 1.721
O -1.473 4.216 1.721
O 1.442 0.832 5.680
O 0.000 3.365 6.931
O 2.914 1.683 0.470
O 1.473 4.216 1.721
O 4.387 0.832 5.680
O 2.914 3.383 5.680
```